Compound: CrTc2SnI
Source: Alexandria via LeMat-Bulk
Functional: SCAN
Structure: single point on PBEsol structure

The crystal system is tetragonal. For the calculated volume, the calculation gives 98.9 Å³/cell. The density of states at the Fermi level comes out at 4.1 states/eV/cell. As for the formation energy without anion corrections: 33.80 kcal/mol of atoms. The density comes out at 8.29 g cm⁻³.

The space group is P4/mmm (No. 123) and the conventional cell measures 4.531, 4.531 and 4.816 Å, with angles of 90.00, 90.00 and 90.00 degrees. The asymmetric unit holds Cr at (0.000, 0.000, 0.000), Tc at (0.000, 0.500, 0.000), Sn at (0.500, 0.500, 0.500) and I at (0.000, 0.000, 0.500).

=====

Compound: Cu2NiF
Source: Alexandria via LeMat-Bulk
Functional: SCAN
Structure: single point on PBEsol structure

The crystal system is cubic. For the calculated volume, the calculation gives 174.1 Å³/cell. The density of states at the Fermi level comes out at 17.7 states/eV/cell. As for the formation energy without anion corrections: 1.96 kcal/mol of atoms. The density comes out at 7.81 g cm⁻³.

The space group is Fm-3m (No. 225) and the conventional cell measures 5.584, 5.584 and 5.584 Å, with angles of 90.00, 90.00 and 90.00 degrees. The asymmetric unit holds Cu at (0.250, 0.250, 0.250), Ni at (0.000, 0.000, 0.000) and F at (0.000, 0.000, 0.500).

=====

Compound: KSb2Se
Source: Alexandria via LeMat-Bulk
Functional: SCAN
Structure: single point on PBEsol structure

The energy above the most stable polymorph in this dataset is 0.0 meV per atom. The crystal system is tetragonal. For the calculated volume, the calculation gives 111.4 Å³/cell. The density of states at the Fermi level comes out at 0.9 states/eV/cell. As for the formation energy without anion corrections: -4.53 kcal/mol of atoms. The density comes out at 5.39 g cm⁻³.

The space group is P4mm (No. 99) and the conventional cell measures 3.628, 3.628 and 8.461 Å, with angles of 90.00, 90.00 and 90.00 degrees. The asymmetric unit holds K at (0.000, 0.000, 0.000), Sb at (0.000, 0.000, 0.442), Sb at (0.500, 0.500, 0.676) and Se at (0.500, 0.500, 0.250).

=====

Compound: CrCdC2
Source: Alexandria via LeMat-Bulk
Functional: SCAN
Structure: single point on PBEsol structure

The crystal system is tetragonal. For the calculated volume, the calculation gives 208.2 Å³/cell. The density of states at the Fermi level comes out at 2.0 states/eV/cell. The energy relative to the elements is 0.88 eV per atom. The density comes out at 6.01 g cm⁻³.

The space group is I-42d (No. 122) and the conventional cell measures 4.817, 4.817 and 8.974 Å, with angles of 90.00, 90.00 and 90.00 degrees. The asymmetric unit holds Cr at (0.000, 0.000, 0.000), Cd at (0.000, 0.000, 0.500) and C at (0.167, 0.250, 0.125).

=====

Compound: BaTeMoI2
Source: Alexandria via LeMat-Bulk
Functional: SCAN
Structure: single point on PBEsol structure

The crystal system is tetragonal. For the calculated volume, the calculation gives 272.4 Å³/cell. The density of states at the Fermi level comes out at 5.1 states/eV/cell. As for the formation energy without anion corrections: 7.67 kcal/mol of atoms. The density comes out at 3.75 g cm⁻³.

The space group is P4/mmm (No. 123) and the conventional cell measures 6.424, 6.424 and 6.600 Å, with angles of 90.00, 90.00 and 90.00 degrees. The asymmetric unit holds Ba at (0.000, 0.000, 0.000), Te at (0.000, 0.000, 0.500), Mo at (0.500, 0.500, 0.500) and I at (0.000, 0.500, 0.000).

=====

Compound: TlCuOs3
Source: Alexandria via LeMat-Bulk
Functional: SCAN
Structure: single point on PBEsol structure

The crystal system is cubic. For the calculated volume, the calculation gives 115.9 Å³/cell. The density of states at the Fermi level comes out at 4.7 states/eV/cell. The energy relative to the elements is 3.63 eV per atom. The density comes out at 12.02 g cm⁻³.

The space group is Pm-3m (No. 221) and the conventional cell measures 4.875, 4.875 and 4.875 Å, with angles of 90.00, 90.00 and 90.00 degrees. The asymmetric unit holds Tl at (0.000, 0.000, 0.000), Cu at (0.500, 0.500, 0.500) and Os at (0.000, 0.000, 0.500).

=====

Compound: Ca3ZnGa
Source: Alexandria via LeMat-Bulk
Functional: SCAN
Structure: single point on PBEsol structure

The crystal system is cubic. For the calculated volume, the calculation gives 180.8 Å³/cell. The density of states at the Fermi level comes out at 4.4 states/eV/cell. The energy relative to the elements is 0.07 eV per atom. The density comes out at 2.35 g cm⁻³.

The space group is Pm-3m (No. 221) and the conventional cell measures 5.654, 5.654 and 5.654 Å, with angles of 90.00, 90.00 and 90.00 degrees. The asymmetric unit holds Ca at (0.000, 0.000, 0.500), Zn at (0.500, 0.500, 0.500) and Ga at (0.000, 0.000, 0.000).

=====

Compound: HfTcW2C
Source: Alexandria via LeMat-Bulk
Functional: SCAN
Structure: single point on PBEsol structure

The crystal system is tetragonal. For the calculated volume, the calculation gives 103.0 Å³/cell. The density of states at the Fermi level comes out at 3.8 states/eV/cell. The energy relative to the elements is 3.78 eV per atom. The density comes out at 10.58 g cm⁻³.

The space group is P4/mmm (No. 123) and the conventional cell measures 4.753, 4.753 and 4.557 Å, with angles of 90.00, 90.00 and 90.00 degrees. The asymmetric unit holds Hf at (0.000, 0.000, 0.000), Tc at (0.000, 0.000, 0.500), W at (0.000, 0.500, 0.000) and C at (0.500, 0.500, 0.500).

=====

Compound: InCoAu2
Source: Alexandria via LeMat-Bulk
Functional: SCAN
Structure: single point on PBEsol structure

The crystal system is tetragonal. For the calculated volume, the calculation gives 128.9 Å³/cell. The density of states at the Fermi level comes out at 4.4 states/eV/cell. The energy relative to the elements is 0.06 eV per atom. The density comes out at 14.63 g cm⁻³.

The space group is I4/mmm (No. 139) and the conventional cell measures 4.092, 4.092 and 7.698 Å, with angles of 90.00, 90.00 and 90.00 degrees. The asymmetric unit holds In at (0.000, 0.000, 0.000), Co at (0.000, 0.000, 0.500) and Au at (0.000, 0.500, 0.250).

=====

Compound: BaHg2P2
Source: Alexandria via LeMat-Bulk
Functional: SCAN
Structure: single point on PBEsol structure

The crystal system is tetragonal. For the calculated volume, the calculation gives 241.7 Å³/cell. The density of states at the Fermi level comes out at 3.1 states/eV/cell. The energy relative to the elements is -0.40 eV per atom. The density comes out at 8.25 g cm⁻³.

The space group is I4/mmm (No. 139) and the conventional cell measures 4.484, 4.484 and 12.021 Å, with angles of 90.00, 90.00 and 90.00 degrees. The asymmetric unit holds Ba at (0.000, 0.000, 0.000), Hg at (0.000, 0.500, 0.250) and P at (0.000, 0.000, 0.412).

=====

Compound: ScPPt
Source: Alexandria via LeMat-Bulk
Functional: SCAN
Structure: single point on PBEsol structure

The crystal system is orthorhombic. For the calculated volume, the calculation gives 183.9 Å³/cell. The density of states at the Fermi level comes out at 0.6 states/eV/cell. The energy relative to the elements is -1.41 eV per atom. The density comes out at 9.79 g cm⁻³.

The space group is Pnma (No. 62) and the conventional cell measures 6.522, 3.817 and 7.387 Å, with angles of 90.00, 90.00 and 90.00 degrees. The asymmetric unit holds Sc at (0.030, 0.250, 0.180), P at (0.247, 0.250, 0.875) and Pt at (0.150, 0.250, 0.562).

=====

Compound: ZnSb2Pb
Source: Alexandria via LeMat-Bulk
Functional: SCAN
Structure: single point on PBEsol structure

The crystal system is orthorhombic. For the calculated volume, the calculation gives 196.8 Å³/cell. The density of states at the Fermi level comes out at 3.7 states/eV/cell. As for the formation energy without anion corrections: 5.18 kcal/mol of atoms. The density comes out at 8.71 g cm⁻³.

The space group is Cmm2 (No. 35) and the conventional cell measures 4.012, 5.202 and 9.431 Å, with angles of 90.00, 90.00 and 90.00 degrees. The asymmetric unit holds Zn at (0.000, 0.000, 0.000), Sb at (0.000, 0.000, 0.514), Sb at (0.000, 0.500, 0.796) and Pb at (0.000, 0.500, 0.230).

=====

Compound: BaTe2IrN
Source: Alexandria via LeMat-Bulk
Functional: SCAN
Structure: single point on PBEsol structure

The energy above the most stable polymorph in this dataset is 0.0 meV per atom. The crystal system is tetragonal. For the calculated volume, the calculation gives 123.3 Å³/cell. The density of states at the Fermi level comes out at 2.3 states/eV/cell. As for the formation energy without anion corrections: -10.00 kcal/mol of atoms. The density comes out at 8.07 g cm⁻³.

The space group is P4/mmm (No. 123) and the conventional cell measures 5.749, 5.749 and 3.730 Å, with angles of 90.00, 90.00 and 90.00 degrees. The asymmetric unit holds Ba at (0.000, 0.000, 0.000), Te at (0.000, 0.500, 0.500), Ir at (0.500, 0.500, 0.500) and N at (0.500, 0.500, 0.000).